Version one
A plane-wave DFT calculation with PBE-GGA was carried out for a relaxed structure of PmTmGeIr.

Computed properties:
DOS at the Fermi energy	2.867	states/eV/f.u.

Lattice parameters (Å, degrees): 4.9955 4.9955 4.9955 60.00 60.00 60.00
Fractional coordinates of all 4 atoms:
Pm 0.0000 0.0000 0.0000
Tm 0.5000 0.5000 0.5000
Ge 0.7500 0.7500 0.7500
Ir 0.2500 0.2500 0.2500

Version two
A plane-wave DFT calculation with PBE-GGA was carried out for a relaxed structure of PmTmGeIr.

Computed properties:
DOS at the Fermi energy	2.472	states/eV/f.u.

Lattice parameters (Å, degrees): 4.0798 5.7877 5.7877 41.99 90.00 90.00
Fractional coordinates of all 4 atoms:
Pm 0.0000 0.0000 0.0000
Tm 0.5000 0.2812 0.2812
Ge 0.5000 0.5765 0.5765
Ir 0.0000 0.7273 0.7273

Question: of the structures shown, which is the least stable? Reply: version one.